# CaZrTi2 | the Alexandria database | GGA-PBE | optimized geometry
# energy relative to the lowest polymorph listed for this composition	0.000	eV per atom
# density	4185	kg/m3
data_CaZrTi2
_cell_length_a 7.116
_cell_length_b 7.116
_cell_length_c 7.116
_cell_angle_alpha 90.00
_cell_angle_beta 90.00
_cell_angle_gamma 90.00
_symmetry_space_group_name_H-M 'F m -3 m'
_symmetry_Int_Tables_number 225
_symmetry_space_group_name_Hall '-F 4 2 3'
loop_
_atom_site_label
_atom_site_type_symbol
_atom_site_fract_x
_atom_site_fract_y
_atom_site_fract_z
Ca1 Ca 0.000 0.000 0.000
Zr1 Zr 0.000 0.000 0.500
Ti1 Ti 0.250 0.250 0.250